A geometry-optimized TlV2BiSe structure. Source: the Alexandria database, functional PBE.

V in Å³/cell: 136.0
Formation energy without anion corrections in eV per atom: 0.635
Uncorrected energy in eV/atom: -4.959

Unit cell a=4.846 b=5.791 c=4.846 alpha=90.00 beta=90.00 gamma=90.00
Site moments in Bohr magnetons follow the coordinates.
Fractional coordinates of all 5 atoms:
1 Se 0.000 0.000 0.000  -0.08
2 V 0.500 0.000 0.000  2.53
3 V 0.000 0.000 0.500  2.83
4 Tl 0.500 0.500 0.500  -0.02
5 Bi 0.000 0.500 0.000  -0.24